# 1
Compound: AcDyAu
Source: the Alexandria database
Functional: PBE-GGA
Structure: relaxed

Cell: 4.5976 4.9229 4.9229 Å, 120.00 90.00 90.00°
Fractional positions:
Ac1 0.0004 0.0000 0.0000
Au1 0.4992 0.3333 0.6667
Dy1 0.5005 0.6667 0.3333

Values from the calculation:
Offset from the most stable computed form = 50 kJ/mol of formula units

# 2
Compound: AcDyAu4
Source: the Alexandria database
Functional: PBE-GGA
Structure: relaxed

Cell: 5.0380 4.2466 8.4454 Å, 75.42 77.08 114.70°
Fractional positions:
Ac1 0.5013 0.4973 0.9981
Dy1 0.0013 0.9973 0.4981
Au1 0.5083 0.8435 0.3152
Au2 0.4943 0.1511 0.6811
Au3 0.0571 0.4000 0.7502
Au4 0.9454 0.5946 0.2461

# 3
Compound: AcDyAu
Source: the Alexandria database
Functional: PBE-GGA
Structure: relaxed

Cell: 5.0003 5.0003 7.5557 Å, 90.03 90.03 90.00°
Fractional positions:
Ac1 0.8136 0.8664 0.5408
Ac2 0.3136 0.3665 0.2984
Dy1 0.8135 0.3666 0.9196
Dy2 0.3136 0.8664 0.9196
Au1 0.8139 0.8668 0.1297
Au2 0.3132 0.3662 0.7095

Values from the calculation:
Offset from the most stable computed form = 0 kJ/mol of formula units

E_tot readings, ordered: -4.411, -4.436, -4.582 eV per atom
Energy of formation from the pure elements readings, ordered: -415, -799, -586 meV/atom